ErLuCoAg after structural relaxation. Source: the Alexandria database, functional PBE-GGA.

Geometry as POSCAR:
```
ErLuCoAg
1.0
4.863 0.000 0.000
2.431 4.211 0.000
2.431 1.404 3.971
Co Ag Er Lu
1 1 1 1
Cartesian
7.294 4.211 2.978
2.431 1.404 0.993
4.863 2.808 1.985
0.000 0.000 0.000
```

Results
Total moment, μB/atom: 0.09
Formation energy, eV per atom: -0.223
Calculated density, Mg/m³: 10.4